Record 1
A relaxed KLaW crystal. Source: Alexandria, functional GGA-PBE.

Its formation energy is 1.11 eV per atom. As for the offset from the most stable computed form: 19 meV/atom. The calculation puts the raw total energy at -0.383 Ry/atom.

It has space group I4mm (No. 107), with a = 3.039 Å, b = 3.039 Å, c = 18.566 Å, α = 90.00°, β = 90.00° and γ = 90.00°. The asymmetric unit holds K at (0.000, 0.000, 0.000), La at (0.000, 0.000, 0.285) and W at (0.000, 0.000, 0.657).

---

Record 2
A relaxed KLaW2 crystal. Source: Alexandria, functional GGA-PBE.

Its formation energy is 0.70 eV per atom. As for the offset from the most stable computed form: 0 meV/atom. The calculation puts the raw total energy at -0.535 Ry/atom.

It has space group P4mm (No. 99), with a = 3.322 Å, b = 3.322 Å, c = 10.349 Å, α = 90.00°, β = 90.00° and γ = 90.00°. The asymmetric unit holds K at (0.000, 0.000, 0.000), La at (0.500, 0.500, 0.382), W at (0.000, 0.000, 0.600) and W at (0.500, 0.500, 0.714).

---

no.,M_tot (μB per cell)
1,0.00
2,0.00